[1]
# PrSm10Sc4, optimized geometry, DFT PBE
data_PrSm10Sc4
_chemical_formula_sum 'Pr1 Sm10 Sc4'
_cell_length_a 9.022
_cell_length_b 9.022
_cell_length_c 9.022
_cell_angle_alpha 100.19
_cell_angle_beta 100.19
_cell_angle_gamma 130.26
_space_group_name_H-M_alt 'P 1'
_space_group_IT_number 1
_space_group_name_Hall 'P 1'
loop_
_atom_site_label
_atom_site_fract_x
_atom_site_fract_y
_atom_site_fract_z
_atom_site_occupancy
Pr1 0.000 0.000 0.000 1
Sm1 0.032 0.670 0.133 1
Sm2 0.102 0.968 0.638 1
Sm3 0.250 0.750 0.500 1
Sm4 0.330 0.463 0.362 1
Sm5 0.463 0.102 0.133 1
Sm6 0.537 0.898 0.867 1
Sm7 0.670 0.537 0.638 1
Sm8 0.750 0.250 0.500 1
Sm9 0.898 0.032 0.362 1
Sm10 0.968 0.330 0.867 1
Sc1 0.298 0.430 0.728 1
Sc2 0.430 0.702 0.133 1
Sc3 0.570 0.298 0.867 1
Sc4 0.702 0.570 0.272 1
# **N(E_F)**: 19.29 states/eV/f.u.
# **Density**: 6.0 Mg/m³
# **Formation energy**: 0.550 eV per atom

---

[2]
# LiGe3Pd, optimized geometry, DFT PBE
data_LiGe3Pd
_chemical_formula_sum 'Li1 Ge3 Pd1'
_cell_length_a 4.912
_cell_length_b 4.912
_cell_length_c 4.912
_cell_angle_alpha 90.00
_cell_angle_beta 90.00
_cell_angle_gamma 90.00
_space_group_name_H-M_alt 'P 1'
_space_group_IT_number 1
_space_group_name_Hall 'P 1'
loop_
_atom_site_label
_atom_site_fract_x
_atom_site_fract_y
_atom_site_fract_z
_atom_site_occupancy
Li1 0.000 0.000 0.000 1
Ge1 0.000 0.500 0.500 1
Ge2 0.500 0.000 0.500 1
Ge3 0.500 0.500 0.000 1
Pd1 0.500 0.500 0.500 1
# **Offset from the most stable computed form**: 0 meV per atom
# **N(E_F)**: 4.32 states/eV/f.u.
# **Density**: 4.6 Mg/m³
# **Formation energy**: 0.246 eV per atom

---

[3]
# CeTm2Ir, optimized geometry, DFT PBE
data_CeTm2Ir
_chemical_formula_sum 'Ce4 Tm8 Ir4'
_cell_length_a 7.131
_cell_length_b 9.293
_cell_length_c 6.379
_cell_angle_alpha 90.00
_cell_angle_beta 90.00
_cell_angle_gamma 90.00
_space_group_name_H-M_alt 'P 1'
_space_group_IT_number 1
_space_group_name_Hall 'P 1'
loop_
_atom_site_label
_atom_site_fract_x
_atom_site_fract_y
_atom_site_fract_z
_atom_site_occupancy
Ce1 0.038 0.250 0.141 1
Ce2 0.462 0.750 0.641 1
Ce3 0.538 0.250 0.359 1
Ce4 0.962 0.750 0.859 1
Tm1 0.177 0.064 0.665 1
Tm2 0.177 0.436 0.665 1
Tm3 0.323 0.564 0.165 1
Tm4 0.323 0.936 0.165 1
Tm5 0.677 0.064 0.835 1
Tm6 0.677 0.436 0.835 1
Tm7 0.823 0.564 0.335 1
Tm8 0.823 0.936 0.335 1
Ir1 0.125 0.750 0.451 1
Ir2 0.375 0.250 0.951 1
Ir3 0.625 0.750 0.049 1
Ir4 0.875 0.250 0.549 1
# **Offset from the most stable computed form**: 0 meV per atom
# **N(E_F)**: 7.46 states/eV/f.u.
# **Density**: 10.5 Mg/m³
# **Formation energy**: -0.547 eV per atom

---

[4]
# UAg2HgS6, optimized geometry, DFT PBE
data_UAg2HgS6
_chemical_formula_sum 'U1 Ag2 Hg1 S6'
_cell_length_a 6.227
_cell_length_b 6.451
_cell_length_c 7.216
_cell_angle_alpha 114.87
_cell_angle_beta 90.66
_cell_angle_gamma 113.04
_space_group_name_H-M_alt 'P 1'
_space_group_IT_number 1
_space_group_name_Hall 'P 1'
loop_
_atom_site_label
_atom_site_fract_x
_atom_site_fract_y
_atom_site_fract_z
_atom_site_occupancy
U1 0.000 0.000 0.000 1
Ag1 0.195 0.358 0.531 1
Ag2 0.671 0.323 0.989 1
Hg1 0.380 0.751 0.069 1
S1 0.094 0.889 0.282 1
S2 0.212 0.805 0.741 1
S3 0.395 0.441 0.210 1
S4 0.613 0.548 0.801 1
S5 0.790 0.223 0.259 1
S6 0.889 0.129 0.743 1
# **N(E_F)**: 1.17 states/eV/f.u.
# **E_form (uncorrected)**: -373.9 meV/atom
# **Density**: 5.9 Mg/m³

---

[5]
# SrZrTeRh2, optimized geometry, DFT PBE
data_SrZrTeRh2
_chemical_formula_sum 'Sr1 Zr1 Te1 Rh2'
_cell_length_a 4.789
_cell_length_b 4.789
_cell_length_c 6.617
_cell_angle_alpha 90.00
_cell_angle_beta 90.00
_cell_angle_gamma 90.00
_space_group_name_H-M_alt 'P 1'
_space_group_IT_number 1
_space_group_name_Hall 'P 1'
loop_
_atom_site_label
_atom_site_fract_x
_atom_site_fract_y
_atom_site_fract_z
_atom_site_occupancy
Sr1 0.000 0.000 0.000 1
Zr1 0.000 0.000 0.500 1
Te1 0.500 0.500 0.000 1
Rh1 0.000 0.500 0.500 1
Rh2 0.500 0.000 0.500 1
# **N(E_F)**: 1.45 states/eV/f.u.
# **E_form (uncorrected)**: 375.4 meV/atom
# **Density**: 5.6 Mg/m³

---

[6]
# CeHo12In6, optimized geometry, DFT PBE
data_CeHo12In6
_chemical_formula_sum 'Ce1 Ho12 In6'
_cell_length_a 8.841
_cell_length_b 8.841
_cell_length_c 8.841
_cell_angle_alpha 103.21
_cell_angle_beta 103.21
_cell_angle_gamma 103.21
_space_group_name_H-M_alt 'P 1'
_space_group_IT_number 1
_space_group_name_Hall 'P 1'
loop_
_atom_site_label
_atom_site_fract_x
_atom_site_fract_y
_atom_site_fract_z
_atom_site_occupancy
Ce1 0.000 0.000 0.000 1
Ho1 0.125 0.500 0.875 1
Ho2 0.125 0.875 0.500 1
Ho3 0.181 0.450 0.450 1
Ho4 0.450 0.181 0.450 1
Ho5 0.450 0.450 0.181 1
Ho6 0.500 0.125 0.875 1
Ho7 0.500 0.875 0.125 1
Ho8 0.550 0.550 0.819 1
Ho9 0.550 0.819 0.550 1
Ho10 0.819 0.550 0.550 1
Ho11 0.875 0.125 0.500 1
Ho12 0.875 0.500 0.125 1
In1 0.239 0.239 0.697 1
In2 0.239 0.697 0.239 1
In3 0.303 0.761 0.761 1
In4 0.697 0.239 0.239 1
In5 0.761 0.303 0.761 1
In6 0.761 0.761 0.303 1
# **N(E_F)**: 34.40 states/eV/f.u.
# **Density**: 7.5 Mg/m³
# **Formation energy**: -0.031 eV per atom

---

no.,M_tot (μB/atom)
1,0.00
2,0.00
3,0.20
4,0.00
5,0.00
6,0.13